A relaxed Y4PPdS2 crystal. Source: Alexandria, functional PBE-GGA.

a = 6.9180 Å, b = 3.9586 Å, c = 6.9540 Å
α = 90.00°, β = 108.73°, γ = 90.00°
Last column: nearest neighbours and their distance in Å.
Space group P2/m (No. 10)
Asymmetric unit:
Y 0.2431 0.0000 0.2461  3 S 2.80-2.84, 1 P 2.80, 2 Pd 2.86
Y 0.2428 0.5000 0.7479  3 S 2.79-2.86, 2 P 2.80, 1 Pd 2.85
P 0.0000 0.0000 0.5000  6 Y 2.80
Pd 0.5000 0.5000 0.5000  6 Y 2.85-2.86
S 0.0000 0.5000 0.0000  6 Y 2.79-2.80
S 0.5000 0.0000 0.0000  6 Y 2.84-2.86

Raw formation energy in eV per atom: -1.578
ρ in Mg/m³: 5.1
Total magnetic moment in μB/cell: 0.00